No. 1
Below is a relaxed structure of Dy6Ta4Al43, with properties calculated at the PBE-GGA level.

a = 11.121 Å, b = 11.121 Å, c = 17.802 Å
α = 90.00°, β = 90.00°, γ = 120.00°
Atoms (fractional coordinates):
Dy1 0.530 0.000 0.596
Dy2 0.470 0.000 0.404
Dy3 0.000 0.530 0.596
Dy4 0.470 0.000 0.096
Dy5 0.000 0.530 0.904
Dy6 0.000 0.470 0.404
Dy7 0.530 0.000 0.904
Dy8 0.000 0.470 0.096
Dy9 0.470 0.470 0.596
Dy10 0.530 0.530 0.404
Dy11 0.530 0.530 0.096
Dy12 0.470 0.470 0.904
Ta1 0.000 0.000 0.500
Ta2 0.000 0.000 0.000
Ta3 0.726 0.000 0.750
Ta4 0.274 0.000 0.250
Ta5 0.000 0.726 0.750
Ta6 0.000 0.274 0.250
Ta7 0.274 0.274 0.750
Ta8 0.726 0.726 0.250
Al1 0.149 0.594 0.750
Al2 0.851 0.406 0.250
Al3 0.406 0.555 0.750
Al4 0.594 0.149 0.750
Al5 0.594 0.445 0.250
Al6 0.406 0.851 0.250
Al7 0.445 0.851 0.750
Al8 0.555 0.406 0.750
Al9 0.555 0.149 0.250
Al10 0.445 0.594 0.250
Al11 0.851 0.445 0.750
Al12 0.149 0.555 0.250
Al13 0.159 0.000 0.115
Al14 0.841 0.000 0.885
Al15 0.000 0.159 0.115
Al16 0.841 0.000 0.615
Al17 0.000 0.159 0.385
Al18 0.000 0.841 0.885
Al19 0.159 0.000 0.385
Al20 0.000 0.841 0.615
Al21 0.841 0.841 0.115
Al22 0.159 0.159 0.885
Al23 0.159 0.159 0.615
Al24 0.841 0.841 0.385
Al25 0.247 0.494 0.500
Al26 0.753 0.506 0.500
Al27 0.506 0.753 0.500
Al28 0.753 0.506 0.000
Al29 0.494 0.247 0.000
Al30 0.494 0.247 0.500
Al31 0.247 0.494 0.000
Al32 0.506 0.753 0.000
Al33 0.247 0.753 0.500
Al34 0.753 0.247 0.500
Al35 0.753 0.247 0.000
Al36 0.247 0.753 0.000
Al37 0.148 0.000 0.750
Al38 0.852 0.000 0.250
Al39 0.000 0.148 0.750
Al40 0.000 0.852 0.250
Al41 0.852 0.852 0.750
Al42 0.148 0.148 0.250
Al43 0.333 0.667 0.625
Al44 0.667 0.333 0.375
Al45 0.667 0.333 0.125
Al46 0.667 0.333 0.875
Al47 0.333 0.667 0.875
Al48 0.333 0.667 0.125
Al49 0.333 0.667 0.375
Al50 0.667 0.333 0.625
Al51 0.256 0.000 0.529
Al52 0.744 0.000 0.471
Al53 0.000 0.256 0.529
Al54 0.744 0.000 0.029
Al55 0.000 0.256 0.971
Al56 0.000 0.744 0.471
Al57 0.256 0.000 0.971
Al58 0.000 0.744 0.029
Al59 0.744 0.744 0.529
Al60 0.256 0.256 0.471
Al61 0.256 0.256 0.029
Al62 0.744 0.744 0.971
Al63 0.158 0.395 0.663
Al64 0.842 0.605 0.337
Al65 0.605 0.763 0.663
Al66 0.842 0.605 0.163
Al67 0.395 0.158 0.837
Al68 0.395 0.237 0.337
Al69 0.158 0.395 0.837
Al70 0.605 0.842 0.163
Al71 0.237 0.842 0.663
Al72 0.395 0.237 0.163
Al73 0.763 0.605 0.837
Al74 0.763 0.158 0.337
Al75 0.605 0.763 0.837
Al76 0.237 0.395 0.163
Al77 0.605 0.842 0.337
Al78 0.395 0.158 0.663
Al79 0.763 0.158 0.163
Al80 0.237 0.395 0.337
Al81 0.237 0.842 0.837
Al82 0.763 0.605 0.663
Al83 0.842 0.237 0.837
Al84 0.158 0.763 0.163
Al85 0.158 0.763 0.337
Al86 0.842 0.237 0.663

Electronic total energy: -4.76 eV per atom
Formation energy from the elements: -7.16 kcal/mol of atoms
D(E_F): 0.31 states/eV per atom
Total magnetization: 0.0 Bohr magnetons per cell
Space-group type: P6_3/mcm

***

No. 2
Below is a relaxed structure of TbDy8Al2, with properties calculated at the PBE-GGA level.

a = 5.173 Å, b = 8.195 Å, c = 8.602 Å
α = 112.93°, β = 107.50°, γ = 90.00°
Atoms (fractional coordinates):
Tb1 0.500 0.000 0.000
Dy1 0.610 0.471 0.221
Dy2 0.312 0.048 0.624
Dy3 0.153 0.221 0.306
Dy4 0.056 0.734 0.112
Dy5 0.847 0.779 0.694
Dy6 0.688 0.952 0.376
Dy7 0.390 0.529 0.779
Dy8 0.944 0.266 0.888
Al1 0.224 0.642 0.448
Al2 0.776 0.358 0.552

Electronic total energy: -4.55 eV per atom
Formation energy from the elements: -2.45 kcal/mol of atoms
D(E_F): 1.16 states/eV per atom
Total magnetization: 0.0 Bohr magnetons per cell
Space-group type: C2/m
ΔE to the lowest computed polymorph: 0 meV per atom

***

No. 3
Below is a relaxed structure of Tb12Dy5Al2, with properties calculated at the PBE-GGA level.

a = 9.260 Å, b = 8.865 Å, c = 8.299 Å
α = 92.61°, β = 90.00°, γ = 121.49°
Atoms (fractional coordinates):
Tb1 0.922 0.844 0.120
Tb2 0.043 0.714 0.771
Tb3 0.671 0.714 0.771
Tb4 0.179 0.748 0.326
Tb5 0.570 0.748 0.326
Tb6 0.446 0.892 0.678
Tb7 0.554 0.108 0.322
Tb8 0.821 0.252 0.674
Tb9 0.430 0.252 0.674
Tb10 0.957 0.286 0.229
Tb11 0.329 0.286 0.229
Tb12 0.078 0.156 0.880
Dy1 0.232 0.464 0.574
Dy2 0.311 0.621 0.985
Dy3 0.000 0.000 0.500
Dy4 0.689 0.379 0.015
Dy5 0.768 0.536 0.426
Al1 0.669 0.000 0.000
Al2 0.331 0.000 0.000

Electronic total energy: -4.51 eV per atom
Formation energy from the elements: 0.42 kcal/mol of atoms
D(E_F): 1.42 states/eV per atom
Total magnetization: 0.0 Bohr magnetons per cell
Space-group type: C2/m

***

No. 4
Below is a relaxed structure of TbDy3Al4, with properties calculated at the PBE-GGA level.

a = 5.091 Å, b = 7.223 Å, c = 10.183 Å
α = 90.00°, β = 90.00°, γ = 90.00°
Atoms (fractional coordinates):
Tb1 0.000 0.500 0.000
Tb2 0.000 0.500 0.500
Al1 0.500 0.751 0.000
Al2 0.500 0.751 0.500
Al3 0.500 0.249 0.000
Al4 0.500 0.249 0.500
Al5 0.999 0.751 0.750
Al6 0.001 0.751 0.250
Al7 0.001 0.249 0.250
Al8 0.999 0.249 0.750
Dy1 0.000 0.000 0.000
Dy2 0.000 0.000 0.500
Dy3 0.499 0.000 0.750
Dy4 0.501 0.000 0.250
Dy5 0.499 0.500 0.750
Dy6 0.501 0.500 0.250

Electronic total energy: -4.57 eV per atom
Formation energy from the elements: -9.14 kcal/mol of atoms
D(E_F): 0.42 states/eV per atom
Total magnetization: 0.0 Bohr magnetons per cell
Space-group type: P4/mmm